A relaxed structure of Si2RhCl. Source: Alexandria, functional GGA-PBE.

Summary:
Raw formation energy ... 0.028 eV per atom
N(E_F) ... 0.24 states/eV per atom

Cell lengths 5.8884, 5.8884, 10.6603 Å; angles 90.00, 90.00, 90.00 degrees
Space group I-42d (No. 122)
One atom of each set of equivalent atoms:
Si 0.1807 0.2500 0.1250 (multiplicity 8)
Rh 0.0000 0.0000 0.0000 (multiplicity 4)
Cl 0.0000 0.0000 0.5000 (multiplicity 4)